Entry 1:
# Tm2Al8Zn PBE-GGA relaxed
# Symmetry: No. 123
# Theoretical density, g/cm³: 5.0
# Raw total energy, eV per atom: -3.889
data_Tm2Al8Zn
_symmetry_space_group_name_H-M 'P 1'
_symmetry_Int_Tables_number 1
_cell_length_a 4.2656
_cell_length_b 4.2656
_cell_length_c 11.3307
_cell_angle_alpha 90.00
_cell_angle_beta 90.00
_cell_angle_gamma 90.00
loop_
_symmetry_equiv_pos_as_xyz
'x,y,z'
loop_
_atom_site_label
_atom_site_fract_x
_atom_site_fract_y
_atom_site_fract_z
_atom_site_occupancy
Tm1 0.0000 0.0000 0.1843 1
Tm2 0.0000 0.0000 0.8157 1
Al1 0.0000 0.5000 0.0000 1
Al2 0.0000 0.5000 0.3706 1
Al3 0.0000 0.5000 0.6294 1
Al4 0.5000 0.0000 0.0000 1
Al5 0.5000 0.0000 0.3706 1
Al6 0.5000 0.0000 0.6294 1
Al7 0.5000 0.5000 0.1910 1
Al8 0.5000 0.5000 0.8090 1
Zn1 0.0000 0.0000 0.5000 1

Entry 2:
# Rb3C PBE-GGA relaxed
# Symmetry: No. 166
# Energy above the most stable polymorph in this dataset, kJ/mol of formula units: 153
# Theoretical density, g/cm³: 2.0
data_Rb3C
_symmetry_space_group_name_H-M 'P 1'
_symmetry_Int_Tables_number 1
_cell_length_a 7.3558
_cell_length_b 7.3558
_cell_length_c 7.3558
_cell_angle_alpha 114.72
_cell_angle_beta 114.72
_cell_angle_gamma 114.72
loop_
_symmetry_equiv_pos_as_xyz
'x,y,z'
loop_
_atom_site_label
_atom_site_fract_x
_atom_site_fract_y
_atom_site_fract_z
_atom_site_occupancy
Rb1 0.0000 0.5000 0.5000 1
Rb2 0.5000 0.0000 0.5000 1
Rb3 0.5000 0.5000 0.0000 1
C1 0.0000 0.0000 0.0000 1

Entry 3:
# Pm2Mg3Hg4 PBE-GGA relaxed
# Symmetry: No. 12
# Energy above the most stable polymorph in this dataset, kJ/mol of formula units: 0
# Theoretical density, g/cm³: 8.8
data_Pm2Mg3Hg4
_symmetry_space_group_name_H-M 'P 1'
_symmetry_Int_Tables_number 1
_cell_length_a 5.0602
_cell_length_b 5.0602
_cell_length_c 9.9242
_cell_angle_alpha 90.16
_cell_angle_beta 90.16
_cell_angle_gamma 60.04
loop_
_symmetry_equiv_pos_as_xyz
'x,y,z'
loop_
_atom_site_label
_atom_site_fract_x
_atom_site_fract_y
_atom_site_fract_z
_atom_site_occupancy
Pm1 0.1659 0.1659 0.2872 1
Pm2 0.8341 0.8341 0.7128 1
Mg1 0.1673 0.1673 0.9277 1
Mg2 0.5000 0.5000 0.5000 1
Mg3 0.8327 0.8327 0.0723 1
Hg1 0.1671 0.1671 0.6023 1
Hg2 0.4988 0.4988 0.1524 1
Hg3 0.5012 0.5012 0.8476 1
Hg4 0.8329 0.8329 0.3977 1

Entry 4:
# Al2ZnCr PBE-GGA relaxed
# Symmetry: No. 12
# Theoretical density, g/cm³: 4.9
# Raw total energy, eV per atom: -4.607
data_Al2ZnCr
_symmetry_space_group_name_H-M 'P 1'
_symmetry_Int_Tables_number 1
_cell_length_a 4.4687
_cell_length_b 4.4687
_cell_length_c 2.9987
_cell_angle_alpha 90.09
_cell_angle_beta 90.09
_cell_angle_gamma 102.73
loop_
_symmetry_equiv_pos_as_xyz
'x,y,z'
loop_
_atom_site_label
_atom_site_fract_x
_atom_site_fract_y
_atom_site_fract_z
_atom_site_occupancy
Al1 0.0000 0.5000 0.0000 1
Al2 0.5000 0.0000 0.0000 1
Zn1 0.0000 0.0000 0.5000 1
Cr1 0.5000 0.5000 0.5000 1

Entry 5:
# In2TeI8 PBE-GGA relaxed
# Symmetry: No. 12
# Formation energy (no corrections), eV/atom: -0.36
# Theoretical density, g/cm³: 3.6
data_In2TeI8
_symmetry_space_group_name_H-M 'P 1'
_symmetry_Int_Tables_number 1
_cell_length_a 8.6212
_cell_length_b 8.6212
_cell_length_c 8.6688
_cell_angle_alpha 91.81
_cell_angle_beta 91.81
_cell_angle_gamma 79.13
loop_
_symmetry_equiv_pos_as_xyz
'x,y,z'
loop_
_atom_site_label
_atom_site_fract_x
_atom_site_fract_y
_atom_site_fract_z
_atom_site_occupancy
In1 0.2133 0.2133 0.3160 1
In2 0.7867 0.7867 0.6840 1
Te1 0.0000 0.0000 0.0000 1
I1 0.1139 0.7322 0.7768 1
I2 0.2431 0.2431 0.6258 1
I3 0.2678 0.8861 0.2232 1
I4 0.3728 0.3728 0.1320 1
I5 0.6272 0.6272 0.8680 1
I6 0.7322 0.1139 0.7768 1
I7 0.7569 0.7569 0.3742 1
I8 0.8861 0.2678 0.2232 1

Entry 6:
# Cd4Ag5Au PBE-GGA relaxed
# Symmetry: No. 2
# Energy above the most stable polymorph in this dataset, kJ/mol of formula units: 0
# Theoretical density, g/cm³: 10.3
data_Cd4Ag5Au
_symmetry_space_group_name_H-M 'P 1'
_symmetry_Int_Tables_number 1
_cell_length_a 5.0018
_cell_length_b 5.8801
_cell_length_c 7.0088
_cell_angle_alpha 75.71
_cell_angle_beta 74.56
_cell_angle_gamma 78.28
loop_
_symmetry_equiv_pos_as_xyz
'x,y,z'
loop_
_atom_site_label
_atom_site_fract_x
_atom_site_fract_y
_atom_site_fract_z
_atom_site_occupancy
Cd1 0.1067 0.3951 0.3024 1
Cd2 0.3026 0.1993 0.8933 1
Cd3 0.6974 0.8007 0.1067 1
Cd4 0.8933 0.6049 0.6976 1
Ag1 0.1003 0.9028 0.3004 1
Ag2 0.2970 0.7008 0.9002 1
Ag3 0.5000 0.0000 0.5000 1
Ag4 0.7030 0.2992 0.0998 1
Ag5 0.8997 0.0972 0.6996 1
Au1 0.5000 0.5000 0.5000 1

Entry 7:
# SrCrPd2Ru PBE-GGA relaxed
# Symmetry: No. 123
# Theoretical density, g/cm³: 6.1
# Raw total energy, eV per atom: -4.618
data_SrCrPd2Ru
_symmetry_space_group_name_H-M 'P 1'
_symmetry_Int_Tables_number 1
_cell_length_a 4.8780
_cell_length_b 4.8780
_cell_length_c 5.1523
_cell_angle_alpha 90.00
_cell_angle_beta 90.00
_cell_angle_gamma 90.00
loop_
_symmetry_equiv_pos_as_xyz
'x,y,z'
loop_
_atom_site_label
_atom_site_fract_x
_atom_site_fract_y
_atom_site_fract_z
_atom_site_occupancy
Sr1 0.0000 0.0000 0.0000 1
Cr1 0.5000 0.5000 0.0000 1
Pd1 0.0000 0.5000 0.5000 1
Pd2 0.5000 0.0000 0.5000 1
Ru1 0.0000 0.0000 0.5000 1

Entry 8:
# Rb2ScAsW PBE-GGA relaxed
# Symmetry: No. 123
# Theoretical density, g/cm³: 3.1
# Raw total energy, eV per atom: -3.727
data_Rb2ScAsW
_symmetry_space_group_name_H-M 'P 1'
_symmetry_Int_Tables_number 1
_cell_length_a 7.1705
_cell_length_b 7.1705
_cell_length_c 4.9437
_cell_angle_alpha 90.00
_cell_angle_beta 90.00
_cell_angle_gamma 90.00
loop_
_symmetry_equiv_pos_as_xyz
'x,y,z'
loop_
_atom_site_label
_atom_site_fract_x
_atom_site_fract_y
_atom_site_fract_z
_atom_site_occupancy
Rb1 0.0000 0.5000 0.0000 1
Rb2 0.5000 0.0000 0.0000 1
Sc1 0.0000 0.0000 0.0000 1
As1 0.0000 0.0000 0.5000 1
W1 0.5000 0.5000 0.5000 1

Entry 9:
# La2Pr4NdTl2 PBE-GGA relaxed
# Symmetry: No. 2
# Theoretical density, g/cm³: 7.4
# Raw total energy, eV per atom: -4.373
data_La2Pr4NdTl2
_symmetry_space_group_name_H-M 'P 1'
_symmetry_Int_Tables_number 1
_cell_length_a 6.5087
_cell_length_b 6.9509
_cell_length_c 8.5369
_cell_angle_alpha 66.67
_cell_angle_beta 80.50
_cell_angle_gamma 62.09
loop_
_symmetry_equiv_pos_as_xyz
'x,y,z'
loop_
_atom_site_label
_atom_site_fract_x
_atom_site_fract_y
_atom_site_fract_z
_atom_site_occupancy
La1 0.1907 0.0140 0.3259 1
La2 0.8093 0.9860 0.6741 1
Pr1 0.3038 0.9674 0.8782 1
Pr2 0.3933 0.5157 0.7349 1
Pr3 0.6067 0.4843 0.2651 1
Pr4 0.6962 0.0326 0.1218 1
Nd1 0.0000 0.5000 0.5000 1
Tl1 0.1390 0.5510 0.1004 1
Tl2 0.8610 0.4490 0.8996 1

Entry 10:
# BaSc2Te PBE-GGA relaxed
# Symmetry: No. 166
# Formation energy (no corrections), eV/atom: -0.15
# Theoretical density, g/cm³: 4.3
data_BaSc2Te
_symmetry_space_group_name_H-M 'P 1'
_symmetry_Int_Tables_number 1
_cell_length_a 10.7587
_cell_length_b 10.7587
_cell_length_c 10.7587
_cell_angle_alpha 20.69
_cell_angle_beta 20.69
_cell_angle_gamma 20.69
loop_
_symmetry_equiv_pos_as_xyz
'x,y,z'
loop_
_atom_site_label
_atom_site_fract_x
_atom_site_fract_y
_atom_site_fract_z
_atom_site_occupancy
Ba1 0.0000 0.0000 0.0000 1
Sc1 0.1100 0.1100 0.1100 1
Sc2 0.8900 0.8900 0.8900 1
Te1 0.5000 0.5000 0.5000 1

Entry 11:
# Ac2YN PBE-GGA relaxed
# Symmetry: No. 166
# Formation energy (no corrections), eV/atom: -0.32
# Theoretical density, g/cm³: 7.4
data_Ac2YN
_symmetry_space_group_name_H-M 'P 1'
_symmetry_Int_Tables_number 1
_cell_length_a 10.5111
_cell_length_b 10.5111
_cell_length_c 10.5111
_cell_angle_alpha 20.55
_cell_angle_beta 20.55
_cell_angle_gamma 20.55
loop_
_symmetry_equiv_pos_as_xyz
'x,y,z'
loop_
_atom_site_label
_atom_site_fract_x
_atom_site_fract_y
_atom_site_fract_z
_atom_site_occupancy
Ac1 0.1174 0.1174 0.1174 1
Ac2 0.8826 0.8826 0.8826 1
Y1 0.0000 0.0000 0.0000 1
N1 0.5000 0.5000 0.5000 1

Entry 12:
# Pm2AlGa6 PBE-GGA relaxed
# Symmetry: No. 164
# Theoretical density, g/cm³: 6.8
# Raw total energy, eV per atom: -3.997
data_Pm2AlGa6
_symmetry_space_group_name_H-M 'P 1'
_symmetry_Int_Tables_number 1
_cell_length_a 6.0119
_cell_length_b 6.0119
_cell_length_c 5.7370
_cell_angle_alpha 90.00
_cell_angle_beta 90.00
_cell_angle_gamma 120.00
loop_
_symmetry_equiv_pos_as_xyz
'x,y,z'
loop_
_atom_site_label
_atom_site_fract_x
_atom_site_fract_y
_atom_site_fract_z
_atom_site_occupancy
Pm1 0.3333 0.6667 0.1475 1
Pm2 0.6667 0.3333 0.8525 1
Al1 0.0000 0.0000 0.0000 1
Ga1 0.1791 0.3581 0.6664 1
Ga2 0.1791 0.8209 0.6664 1
Ga3 0.3581 0.1791 0.3336 1
Ga4 0.6419 0.8209 0.6664 1
Ga5 0.8209 0.1791 0.3336 1
Ga6 0.8209 0.6419 0.3336 1